# 1
A plane-wave DFT calculation with PBE was carried out for an optimized crystal structure of NaDy5Tl3.

extended XYZ file:
```
18
Lattice="6.684 0.000 0.000 0.000 8.100 -4.677 0.000 0.000 9.353" Properties=species:S:1:pos:R:3 pbc="T T T"
Dy 5.013 2.584 -1.492
Dy 0.000 2.700 4.676
Dy 0.000 5.400 0.000
Tl 1.671 5.295 3.057
Dy 1.671 2.585 1.492
Tl 5.013 8.100 1.437
Dy 1.671 5.516 -3.185
Na 0.000 0.000 0.000
Dy 3.342 5.400 0.000
Dy 3.342 2.700 4.676
Dy 5.013 5.516 3.184
Tl 5.013 2.805 1.620
Dy 1.671 0.000 6.369
Tl 5.013 5.295 -3.057
Tl 1.671 2.805 -1.620
Tl 1.671 0.000 3.239
Na 3.342 0.000 0.000
Dy 5.013 8.100 -1.692
```

Summary:
- ΔH_f (0 K) (eV/atom) = -0.2431

---

# 2
A plane-wave DFT calculation with PBE was carried out for an optimized crystal structure of MgInRe2Mo.

extended XYZ file:
```
5
Lattice="4.859 0.000 0.000 0.000 4.558 0.000 0.000 0.000 4.859" Properties=species:S:1:pos:R:3 pbc="T T T"
Mg 0.000 2.279 0.000
In 0.000 0.000 0.000
Re 2.430 0.000 0.000
Re 0.000 0.000 2.430
Mo 2.430 2.279 2.430
```

Summary:
- ΔH_f (0 K) (eV/atom) = 2.5606

---

# 3
A plane-wave DFT calculation with PBE was carried out for an optimized crystal structure of Rb5Pa2I12.

extended XYZ file:
```
19
Lattice="-8.910 0.759 -2.381 1.766 -6.203 9.396 0.298 11.498 2.549" Properties=species:S:1:pos:R:3 pbc="T T T"
I -0.072 1.902 0.875
I -2.839 4.889 3.128
Pa -2.253 0.192 -0.602
I -7.442 -0.583 0.902
Rb -5.167 7.467 3.734
I 0.417 0.788 7.618
I -6.774 4.152 8.689
I -7.262 5.266 1.946
Rb -1.329 3.646 6.135
Rb 0.149 5.749 1.275
I -3.093 -0.953 2.064
Rb -1.679 -1.414 5.830
I -2.350 3.656 9.959
I -4.006 1.164 6.436
I 0.596 6.636 8.662
I -3.753 7.007 7.500
I -4.496 2.398 -0.395
Rb -5.517 2.408 3.430
Pa -6.657 0.567 -1.779
```

Summary:
- calculated total energy (eV per cell) = -64.67

---

# 4
A plane-wave DFT calculation with PBE was carried out for an optimized crystal structure of LiNdHfRe.

extended XYZ file:
```
4
Lattice="-3.353 -1.318 -3.237 1.238 -0.663 -4.635 0.067 -4.466 -1.874" Properties=species:S:1:pos:R:3 pbc="T T T"
Hf -1.024 -3.223 -4.873
Nd 0.000 0.000 0.000
Li -0.512 -1.612 -2.437
Re -1.536 -4.835 -7.310
```

Summary:
- ΔH_f (0 K) (eV/atom) = 0.0790

---

# 5
A plane-wave DFT calculation with PBE was carried out for an optimized crystal structure of Mg6TlPb.

extended XYZ file:
```
8
Lattice="4.568 0.000 0.000 0.000 4.568 0.000 0.000 0.000 9.051" Properties=species:S:1:pos:R:3 pbc="T T T"
Mg 2.284 2.284 4.526
Mg 0.000 2.284 2.235
Mg 2.284 0.000 6.816
Tl 0.000 0.000 0.000
Mg 2.284 2.284 0.000
Pb 0.000 0.000 4.526
Mg 0.000 2.284 6.816
Mg 2.284 0.000 2.235
```

Summary:
- ΔH_f (0 K) (eV/atom) = -0.0440

---

# 6
A plane-wave DFT calculation with PBE was carried out for an optimized crystal structure of ZnHg3Cl.

extended XYZ file:
```
5
Lattice="-4.361 0.767 2.847 1.647 -3.581 3.489 2.445 3.781 2.727" Properties=species:S:1:pos:R:3 pbc="T T T"
Hg 0.824 -1.791 1.744
Cl -0.134 0.483 4.531
Hg 1.223 1.891 1.363
Hg -2.181 0.384 1.423
Zn 0.000 0.000 0.000
```

Summary:
- polymorph energy (0 for the lowest one) (meV per atom) = 0